Below is an optimized crystal structure of La2ZrP, with properties calculated at the PBE level.

Cell lengths 7.2738, 7.2738, 7.2738 Å; angles 90.00, 90.00, 90.00 degrees
Space group F-43m (No. 216)
Asymmetric unit:
La (0.0000, 0.0000, 0.0000) (multiplicity 4)
La (0.2500, 0.2500, 0.2500) (multiplicity 4)
Zr (0.2500, 0.2500, 0.7500) (multiplicity 4)
P (0.0000, 0.0000, 0.5000) (multiplicity 4)

=====

Below is an optimized crystal structure of La2ZrP, with properties calculated at the PBE level.

Cell lengths 3.6150, 3.8318, 17.0329 Å; angles 90.00, 90.00, 90.00 degrees
Space group Immm (No. 71)
Asymmetric unit:
La (0.0000, 0.0000, 0.1591) (multiplicity 4)
Zr (0.0000, 0.5000, 0.0000) (multiplicity 2)
P (0.0000, 0.5000, 0.5000) (multiplicity 2)

=====

Below is an optimized crystal structure of La2Pa, with properties calculated at the PBE level.

Cell lengths 3.4180, 3.4180, 16.2637 Å; angles 90.00, 90.00, 90.00 degrees
Space group I4/mmm (No. 139)
Asymmetric unit:
La (0.0000, 0.0000, 0.1482) (multiplicity 4)
Pa (0.0000, 0.0000, 0.5000) (multiplicity 2)

=====

Below is an optimized crystal structure of LaPa2, with properties calculated at the PBE level.

Cell lengths 8.7445, 8.7445, 8.7445 Å; angles 90.00, 90.00, 90.00 degrees
Space group Fd-3m (No. 227, origin choice 2)
Asymmetric unit:
La (0.1250, 0.1250, 0.1250) (multiplicity 8)
Pa (0.0000, 0.0000, 0.5000) (multiplicity 16)

=====

Below is an optimized crystal structure of LaPa2, with properties calculated at the PBE level.

Cell lengths 3.2907, 3.2907, 15.0308 Å; angles 90.00, 90.00, 90.00 degrees
Space group I4/mmm (No. 139)
Asymmetric unit:
La (0.0000, 0.0000, 0.0000) (multiplicity 2)
Pa (0.0000, 0.0000, 0.3278) (multiplicity 4)

=====

Below is an optimized crystal structure of La3Pa, with properties calculated at the PBE level.

Cell lengths 3.4751, 12.0372, 6.1766 Å; angles 90.00, 90.00, 90.00 degrees
Space group Imm2 (No. 44)
Asymmetric unit:
La (0.0000, 0.0000, 0.0000) (multiplicity 2)
La (0.0000, 0.2249, 0.4200) (multiplicity 4)
Pa (0.0000, 0.5000, 0.0397) (multiplicity 2)

=====

Below is an optimized crystal structure of LaPa5, with properties calculated at the PBE level.

Cell lengths 4.7118, 14.1877, 4.6590 Å; angles 90.00, 90.00, 90.00 degrees
Space group Cmmm (No. 65)
Asymmetric unit:
La (0.0000, 0.0000, 0.0000) (multiplicity 2)
Pa (0.0000, 0.1688, 0.5000) (multiplicity 4)
Pa (0.0000, 0.3312, 0.0000) (multiplicity 4)
Pa (0.0000, 0.5000, 0.5000) (multiplicity 2)

=====

Below is an optimized crystal structure of LaPa3, with properties calculated at the PBE level.

Cell lengths 7.5115, 7.5115, 7.5115 Å; angles 90.00, 90.00, 90.00 degrees
Space group Fm-3m (No. 225)
Asymmetric unit:
La (0.0000, 0.0000, 0.0000) (multiplicity 4)
Pa (0.0000, 0.0000, 0.5000) (multiplicity 4)
Pa (0.2500, 0.2500, 0.2500) (multiplicity 8)

=====

Below is an optimized crystal structure of LaPa3, with properties calculated at the PBE level.

Cell lengths 3.1886, 5.6246, 5.8505 Å; angles 90.00, 90.00, 90.00 degrees
Space group Pmm2 (No. 25)
Asymmetric unit:
La (0.0000, 0.0000, 0.0000) (multiplicity 1)
Pa (0.0000, 0.5000, 0.7352) (multiplicity 1)
Pa (0.5000, 0.0000, 0.5077) (multiplicity 1)
Pa (0.5000, 0.5000, 0.2520) (multiplicity 1)

=====

Below is an optimized crystal structure of La3Pa, with properties calculated at the PBE level.

Cell lengths 4.9908, 4.9908, 10.1161 Å; angles 90.00, 90.00, 90.00 degrees
Space group I4/mmm (No. 139)
Asymmetric unit:
La (0.0000, 0.0000, 0.0000) (multiplicity 2)
La (0.0000, 0.5000, 0.2500) (multiplicity 4)
Pa (0.0000, 0.0000, 0.5000) (multiplicity 2)

=====

Below is an optimized crystal structure of LaPa3, with properties calculated at the PBE level.

Cell lengths 4.7239, 4.7239, 4.7239 Å; angles 90.00, 90.00, 90.00 degrees
Space group Pm-3m (No. 221)
Asymmetric unit:
La (0.0000, 0.0000, 0.0000) (multiplicity 1)
Pa (0.0000, 0.5000, 0.5000) (multiplicity 3)

=====

Below is an optimized crystal structure of La3Pa, with properties calculated at the PBE level.

Cell lengths 3.4610, 5.7721, 6.4049 Å; angles 90.00, 90.00, 90.00 degrees
Space group Pmm2 (No. 25)
Asymmetric unit:
La (0.0000, 0.0000, 0.0000) (multiplicity 1)
La (0.0000, 0.5000, 0.2647) (multiplicity 1)
La (0.5000, 0.5000, 0.7228) (multiplicity 1)
Pa (0.5000, 0.0000, 0.4916) (multiplicity 1)

=====

Below is an optimized crystal structure of La5Pa, with properties calculated at the PBE level.

Cell lengths 5.0818, 15.6372, 5.0851 Å; angles 90.00, 90.00, 90.00 degrees
Space group Cmmm (No. 65)
Asymmetric unit:
La (0.0000, 0.0000, 0.0000) (multiplicity 2)
La (0.0000, 0.1527, 0.5000) (multiplicity 4)
La (0.0000, 0.3467, 0.0000) (multiplicity 4)
Pa (0.0000, 0.5000, 0.5000) (multiplicity 2)

=====

Below is an optimized crystal structure of La3Pa, with properties calculated at the PBE level.

Cell lengths 5.0106, 5.0106, 5.0106 Å; angles 90.00, 90.00, 90.00 degrees
Space group Pm-3m (No. 221)
Asymmetric unit:
La (0.0000, 0.0000, 0.5000) (multiplicity 3)
Pa (0.5000, 0.5000, 0.5000) (multiplicity 1)

=====

Below is an optimized crystal structure of LaPaPb6, with properties calculated at the PBE level.

Cell lengths 4.8837, 4.8837, 9.7813 Å; angles 90.00, 90.00, 90.00 degrees
Space group P4/mmm (No. 123)
Asymmetric unit:
La (0.0000, 0.0000, 0.0000) (multiplicity 1)
Pa (0.0000, 0.0000, 0.5000) (multiplicity 1)
Pb (0.0000, 0.5000, 0.2570) (multiplicity 4)
Pb (0.5000, 0.5000, 0.0000) (multiplicity 1)
Pb (0.5000, 0.5000, 0.5000) (multiplicity 1)

=====

It is found that the total energy values, taken in the order of the records, are -6.00; -6.43; -6.31; -7.76; -7.80; -5.84; -8.61; -7.94; -8.15; -5.82; -8.15; -5.83; -5.56; -5.83; -4.80 eV per atom.
It is found that the energy of formation values, taken in the order of the records, are -0.050; -0.479; 0.142; 0.209; 0.176; 0.225; 0.126; 0.413; 0.208; 0.248; 0.202; 0.235; 0.128; 0.243; -0.220 eV/atom.
It is found that the spin magnetization values, taken in the order of the records, are 0.058; 0.000; 0.000; 0.001; 0.000; 0.000; 0.000; 0.000; 0.000; 0.004; 0.000; 0.002; 0.000; 0.000; 0.005 μB/cell.